# 1
# Li5SmS4 GGA-PBE relaxed
# **Total magnetic moment**: 0.00 μB/cell
# **Formation energy (no corrections)**: -1.485 eV/atom
# **VASP energy**: -4.5649 eV per atom
data_Li5SmS4
_space_group_name_H-M_alt 'P 1'
_space_group_IT_number 1
_cell_length_a 3.962
_cell_length_b 7.148
_cell_length_c 7.918
_cell_angle_alpha 116.83
_cell_angle_beta 104.49
_cell_angle_gamma 90.00
loop_
_space_group_symop_operation_xyz
'x,y,z'
loop_
_atom_site_label
_atom_site_fract_x
_atom_site_fract_y
_atom_site_fract_z
Li1 0.821 0.034 0.643
Li2 0.821 0.609 0.643
Li3 0.179 0.391 0.357
Li4 0.179 0.966 0.357
Li5 0.500 0.500 0.000
Sm1 0.500 0.000 0.000
S1 0.000 0.731 0.000
S2 0.289 0.789 0.578
S3 0.711 0.211 0.422
S4 0.000 0.269 0.000



# 2
# BaHg2Pt GGA-PBE relaxed
# **Energy of formation**: -162 kJ/mol of formula units
# **Total magnetic moment**: 0.00 μB/cell
# **VASP energy**: -2.5613 eV per atom
data_BaHg2Pt
_space_group_name_H-M_alt 'P 1'
_space_group_IT_number 1
_cell_length_a 4.884
_cell_length_b 5.020
_cell_length_c 5.040
_cell_angle_alpha 75.78
_cell_angle_beta 90.00
_cell_angle_gamma 90.00
loop_
_space_group_symop_operation_xyz
'x,y,z'
loop_
_atom_site_label
_atom_site_fract_x
_atom_site_fract_y
_atom_site_fract_z
Hg1 0.000 0.063 0.063
Hg2 0.000 0.437 0.437
Pt1 0.500 0.250 0.250
Ba1 0.500 0.750 0.750



- Look up the VASP energy of the first one.
  -4.5649 eV per atom